No. 1
# TmMgSi2As4 | OQMD via LeMat-Bulk | PBE-GGA | optimized geometry
data_TmMgSi2As4
_space_group_name_H-M_alt 'I -4'
_space_group_IT_number 82
_space_group_name_Hall 'I -4'
_cell_length_a 6.2100
_cell_length_b 6.2100
_cell_length_c 10.4160
_cell_angle_alpha 90.00
_cell_angle_beta 90.00
_cell_angle_gamma 90.00
loop_
_atom_site_label
_atom_site_fract_x
_atom_site_fract_y
_atom_site_fract_z
_atom_site_occupancy
Tm1 0.0000 0.0000 0.0000 1
Mg1 0.0000 0.5000 0.2500 1
Si1 0.0000 0.0000 0.5000 1
Si2 0.0000 0.5000 0.7500 1
As1 0.2069 0.2392 0.6302 1
# **DFT total energy**: -4.714 eV per atom
# **Magnetization**: 0.0 μB per formula unit
# **V**: 401.7 Å³ per cell



No. 2
# MgZnSi2As4 | OQMD via LeMat-Bulk | PBE-GGA | optimized geometry
data_MgZnSi2As4
_space_group_name_H-M_alt 'I -4'
_space_group_IT_number 82
_space_group_name_Hall 'I -4'
_cell_length_a 5.7913
_cell_length_b 5.7913
_cell_length_c 11.0198
_cell_angle_alpha 90.00
_cell_angle_beta 90.00
_cell_angle_gamma 90.00
loop_
_atom_site_label
_atom_site_fract_x
_atom_site_fract_y
_atom_site_fract_z
_atom_site_occupancy
Mg1 0.0000 0.0000 0.0000 1
Zn1 0.0000 0.5000 0.7500 1
Si1 0.0000 0.0000 0.5000 1
Si2 0.0000 0.5000 0.2500 1
As1 0.2264 0.7569 0.3720 1
# **DFT total energy**: -4.280 eV per atom
# **V**: 369.6 Å³ per cell